# 1
First-principles (PBE-GGA) data for crystalline BaIn3Tc at its relaxed geometry, as listed in OQMD via LeMat-Bulk.

```
BaIn3Tc
1.0
-7.054 -0.434 1.896
-0.997 -5.318 -4.926
1.215 -3.643 3.686
Ba In Tc
2 6 2
Direct
0.000 0.000 0.000 Ba
0.500 0.500 0.000 Ba
0.000 0.500 0.093 In
0.250 0.250 0.500 In
0.750 0.250 0.500 In
0.250 0.750 0.500 In
0.750 0.750 0.500 In
0.500 0.000 0.907 In
0.500 0.000 0.395 Tc
0.000 0.500 0.605 Tc
```

Results
Total moment in μB/atom: 0.0004
Crystal system: tetragonal
SG: P4/nmm
Calculated total energy in eV per formula unit: -21.5

---

# 2
First-principles (PBE-GGA) data for crystalline Ba2InTc at its relaxed geometry, as listed in OQMD via LeMat-Bulk.

```
Ba2InTc
1.0
-1.248 -3.200 -4.240
-3.612 1.691 -3.725
1.678 1.340 -5.017
Ba In Tc
2 1 1
Direct
0.500 0.500 0.500 Ba
0.750 0.750 0.750 Ba
0.000 0.000 0.000 In
0.250 0.250 0.250 Tc
```

Results
Total moment in μB/atom: 0.6390
Crystal system: cubic
SG: F-43m
Calculated total energy in eV per formula unit: -14.6

---

# 3
First-principles (PBE-GGA) data for crystalline BaInTc at its relaxed geometry, as listed in OQMD via LeMat-Bulk.

```
BaInTc
1.0
0.181 -4.849 -0.763
-4.119 -2.485 -0.994
-0.751 -1.807 -4.505
Ba In Tc
1 1 1
Direct
0.250 0.250 0.250 Ba
0.750 0.750 0.750 In
0.000 0.000 0.000 Tc
```

Results
Total moment in μB/atom: 0.0009
Crystal system: cubic
SG: F-43m
Energy relative to the lowest polymorph listed for this composition in meV per atom: 0

---

# 4
First-principles (PBE-GGA) data for crystalline BaThIn at its relaxed geometry, as listed in OQMD via LeMat-Bulk.

```
BaThIn
1.0
5.262 -0.175 1.543
2.536 4.586 1.625
1.334 0.674 5.279
Ba In Th
1 1 1
Direct
0.250 0.250 0.250 Ba
0.750 0.750 0.750 In
0.000 0.000 0.000 Th
```

Results
Total moment in μB/atom: 0.1519
Crystal system: cubic
SG: F-43m
Calculated total energy in eV per formula unit: -10.5

---

# 5
First-principles (PBE-GGA) data for crystalline BaUIn at its relaxed geometry, as listed in OQMD via LeMat-Bulk.

```
BaUIn
1.0
5.216 -0.280 -1.927
3.098 -4.516 0.999
1.250 -3.493 -4.151
Ba In U
1 1 1
Direct
0.250 0.250 0.250 Ba
0.000 0.000 0.000 In
0.750 0.750 0.750 U
```

Results
Total moment in μB/atom: 1.1191
Crystal system: cubic
SG: F-43m
Energy relative to the lowest polymorph listed for this composition in meV per atom: 0

---

# 6
First-principles (PBE-GGA) data for crystalline Ba2ZnIn at its relaxed geometry, as listed in OQMD via LeMat-Bulk.

```
Ba2ZnIn
1.0
1.631 -5.161 -1.966
-3.803 -4.316 -0.258
-1.895 -1.866 -5.107
Ba In Zn
2 1 1
Direct
0.000 0.000 0.000 Ba
0.750 0.750 0.750 Ba
0.250 0.250 0.250 In
0.500 0.500 0.500 Zn
```

Results
Crystal system: cubic
SG: F-43m
Calculated total energy in eV per formula unit: -8.1

---

# 7
First-principles (PBE-GGA) data for crystalline BaZnIn2 at its relaxed geometry, as listed in OQMD via LeMat-Bulk.

```
BaZnIn2
1.0
0.000 3.861 3.861
3.861 0.000 3.861
3.861 3.861 0.000
Ba In Zn
1 2 1
Direct
0.750 0.750 0.750 Ba
0.000 0.000 0.000 In
0.250 0.250 0.250 In
0.500 0.500 0.500 Zn
```

Results
Crystal system: cubic
SG: F-43m
Calculated total energy in eV per formula unit: -9.5

---

# 8
First-principles (PBE-GGA) data for crystalline Ba2Ir at its relaxed geometry, as listed in OQMD via LeMat-Bulk.

```
Ba2Ir
1.0
7.249 0.000 0.000
0.000 7.249 0.000
0.000 0.000 4.758
Ba Ir
4 2
Direct
0.304 0.304 0.000 Ba
0.696 0.696 0.000 Ba
0.804 0.196 0.500 Ba
0.196 0.804 0.500 Ba
0.000 0.000 0.000 Ir
0.500 0.500 0.500 Ir
```

Results
Total moment in μB/atom: 0.1984
Crystal system: tetragonal
SG: P4_2/mnm
Calculated total energy in eV per formula unit: -12.8

---

# 9
First-principles (PBE-GGA) data for crystalline BaIr at its relaxed geometry, as listed in OQMD via LeMat-Bulk.

```
BaIr
1.0
-1.249 0.089 4.334
1.078 3.536 2.586
-3.211 2.859 1.363
Ba Ir
1 1
Direct
0.000 0.000 0.000 Ba
0.500 0.500 0.500 Ir
```

Results
Total moment in μB/atom: 0.4998
Crystal system: cubic
SG: Fm-3m
Calculated total energy in eV per formula unit: -9.3

---

# 10
First-principles (PBE-GGA) data for crystalline Ba3Ir at its relaxed geometry, as listed in OQMD via LeMat-Bulk.

```
Ba3Ir
1.0
8.756 0.000 0.000
0.000 8.756 0.000
0.000 0.000 6.190
Ba Ir
6 2
Direct
0.250 0.250 0.000 Ba
0.750 0.250 0.000 Ba
0.250 0.750 0.000 Ba
0.750 0.750 0.000 Ba
0.500 0.000 0.497 Ba
0.000 0.500 0.503 Ba
0.000 0.500 0.005 Ir
0.500 0.000 0.995 Ir
```

Results
Total moment in μB/atom: 0.0473
Crystal system: tetragonal
SG: P4/nmm
Calculated total energy in eV per formula unit: -14.5

---

# 11
First-principles (PBE-GGA) data for crystalline BaIr at its relaxed geometry, as listed in OQMD via LeMat-Bulk.

```
BaIr
1.0
-2.939 1.980 3.468
-4.552 1.555 -1.201
-3.975 -2.495 1.601
Ba Ir
1 1
Direct
0.000 0.000 0.000 Ba
0.250 0.250 0.250 Ir
```

Results
Total moment in μB/atom: 0.5001
Crystal system: cubic
SG: F-43m
Calculated total energy in eV per formula unit: -8.5

---

# 12
First-principles (PBE-GGA) data for crystalline BaIr4 at its relaxed geometry, as listed in OQMD via LeMat-Bulk.

```
BaIr4
1.0
2.271 1.499 5.508
0.333 5.903 1.669
-4.125 -3.885 -2.374
Ba Ir
1 4
Direct
0.000 0.000 0.000 Ba
0.386 0.386 0.000 Ir
0.614 0.614 0.000 Ir
0.750 0.250 0.500 Ir
0.250 0.750 0.500 Ir
```

Results
Total moment in μB/atom: 0.0002
Crystal system: tetragonal
SG: I4/mmm
Calculated total energy in eV per formula unit: -36.2

---

Please write out number 10 again, unchanged.
First-principles (PBE-GGA) data for crystalline Ba3Ir at its relaxed geometry, as listed in OQMD via LeMat-Bulk.

```
Ba3Ir
1.0
8.756 0.000 0.000
0.000 8.756 0.000
0.000 0.000 6.190
Ba Ir
6 2
Direct
0.250 0.250 0.000 Ba
0.750 0.250 0.000 Ba
0.250 0.750 0.000 Ba
0.750 0.750 0.000 Ba
0.500 0.000 0.497 Ba
0.000 0.500 0.503 Ba
0.000 0.500 0.005 Ir
0.500 0.000 0.995 Ir
```

Results
Total moment in μB/atom: 0.0473
Crystal system: tetragonal
SG: P4/nmm
Calculated total energy in eV per formula unit: -14.5